1.
CaMgAl2 | PBE | optimized geometry

Lattice parameters (Å, degrees): 5.724 5.724 5.322 73.37 73.37 33.73
Element x y z (fractional)
Al 0.973 0.973 0.980
Al 0.279 0.279 0.255
Mg 0.730 0.730 0.806
Ca 0.518 0.518 0.459

Properties
DOS at the Fermi energy	0.536	states/eV/atom
VASP energy	-2.819	eV/atom
E_form	-0.05	eV/atom
total moment	0.00	Bohr magnetons per cell

***

2.
Ca2MgAl | PBE | optimized geometry

Lattice parameters (Å, degrees): 10.790 10.790 10.790 19.40 19.40 19.40
Element x y z (fractional)
Mg 0.250 0.250 0.250
Al 0.750 0.750 0.750
Ca 0.493 0.493 0.493
Ca 0.007 0.007 0.007

Properties
DOS at the Fermi energy	0.774	states/eV/atom
VASP energy	-2.287	eV/atom
E_form	0.05	eV/atom
total moment	0.55	Bohr magnetons per cell

***

3.
Ca4Mg3Al | PBE | optimized geometry

Lattice parameters (Å, degrees): 3.815 3.815 16.288 90.00 90.00 90.00
Element x y z (fractional)
Mg 0.500 0.500 0.761
Mg 0.500 0.500 0.239
Mg 0.500 0.500 0.500
Ca 0.000 0.000 0.369
Ca 0.000 0.000 0.110
Ca 0.000 0.000 0.631
Ca 0.000 0.000 0.890
Al 0.500 0.500 0.000

Properties
DOS at the Fermi energy	0.754	states/eV/atom
VASP energy	-2.181	eV/atom
E_form	-0.11	eV/atom
total moment	0.00	Bohr magnetons per cell

***

4.
Ca3MgAl8 | PBE | optimized geometry

Lattice parameters (Å, degrees): 5.594 5.594 9.780 73.38 73.38 60.00
Element x y z (fractional)
Ca 0.999 0.999 0.004
Ca 0.501 0.501 0.496
Ca 0.375 0.375 0.875
Al 0.438 0.939 0.684
Al 0.939 0.438 0.684
Al 0.939 0.939 0.684
Al 0.436 0.436 0.190
Al 0.688 0.688 0.936
Al 0.937 0.436 0.190
Al 0.436 0.937 0.190
Al 0.187 0.187 0.438
Mg 0.874 0.874 0.377

Properties
DOS at the Fermi energy	0.514	states/eV/atom
VASP energy	-3.379	eV/atom
E_form	-0.25	eV/atom
total moment	0.00	Bohr magnetons per cell

***

5.
Ca8MgAl2 | PBE | optimized geometry

Lattice parameters (Å, degrees): 5.318 8.943 9.283 118.80 106.64 90.00
Element x y z (fractional)
Ca 0.339 0.549 0.678
Ca 0.000 0.683 0.000
Ca 0.339 0.129 0.678
Ca 0.661 0.451 0.322
Ca 0.661 0.871 0.322
Ca 0.855 0.855 0.709
Ca 0.145 0.145 0.291
Ca 0.000 0.317 0.000
Al 0.196 0.696 0.392
Al 0.804 0.304 0.608
Mg 0.500 0.000 0.000

Properties
DOS at the Fermi energy	0.675	states/eV/atom
VASP energy	-2.349	eV/atom
E_form	-0.07	eV/atom
total moment	0.00	Bohr magnetons per cell

***

6.
CaMgAl2 | PBE | optimized geometry

Lattice parameters (Å, degrees): 4.466 4.446 6.274 45.03 90.00 90.00
Element x y z (fractional)
Ca 0.500 0.500 0.500
Al 0.000 0.000 0.000
Al 0.500 0.500 0.000
Mg 0.000 0.000 0.500

Properties
DOS at the Fermi energy	0.648	states/eV/atom
VASP energy	-2.870	eV/atom
E_form	-0.10	eV/atom
total moment	0.00	Bohr magnetons per cell

***

7.
Ca2MgAl | PBE | optimized geometry

Lattice parameters (Å, degrees): 5.346 3.898 5.351 89.99 90.00 90.00
Element x y z (fractional)
Mg 0.000 0.625 0.385
Al 0.500 0.625 0.866
Ca 0.000 0.125 0.879
Ca 0.500 0.125 0.369

Properties
DOS at the Fermi energy	0.723	states/eV/atom
VASP energy	-2.478	eV/atom
E_form	-0.14	eV/atom
total moment	0.00	Bohr magnetons per cell

***

8.
Ca2MgAl | PBE | optimized geometry

Lattice parameters (Å, degrees): 3.627 3.627 8.915 90.00 90.00 90.00
Element x y z (fractional)
Al 0.500 0.500 0.713
Mg 0.000 0.000 0.551
Ca 0.500 0.500 0.294
Ca 0.000 0.000 0.942

Properties
DOS at the Fermi energy	0.843	states/eV/atom
VASP energy	-2.387	eV/atom
E_form	-0.05	eV/atom
total moment	0.00	Bohr magnetons per cell